Entry 1:
# LiCrRh2, relaxed, DFT PBE-GGA
# V in Å³/cell: 235
# DFT formation energy in meV per atom: 259
data_LiCrRh2
_chemical_formula_sum 'Li4 Cr4 Rh8'
_cell_length_a 6.6132
_cell_length_b 6.6132
_cell_length_c 5.3813
_cell_angle_alpha 90.00
_cell_angle_beta 90.00
_cell_angle_gamma 90.00
_space_group_name_H-M_alt 'I -4 2 d'
_space_group_IT_number 122
_space_group_name_Hall 'I -4 2bw'
loop_
_atom_site_label
_atom_site_type_symbol
_atom_site_fract_x
_atom_site_fract_y
_atom_site_fract_z
Li1 Li 0.0000 0.0000 0.0000
Cr1 Cr 0.0000 0.0000 0.5000
Rh1 Rh 0.2186 0.2500 0.6250


Entry 2:
# Li2CrRh, relaxed, DFT PBE-GGA
# V in Å³/cell: 57
# Energy above the lowest structure with this stoichiometry in meV per atom: 146.0
# DFT formation energy in meV per atom: 221
data_Li2CrRh
_chemical_formula_sum 'Li2 Cr1 Rh1'
_cell_length_a 2.7983
_cell_length_b 4.2404
_cell_length_c 4.8063
_cell_angle_alpha 90.00
_cell_angle_beta 90.00
_cell_angle_gamma 90.00
_space_group_name_H-M_alt 'P m m m'
_space_group_IT_number 47
loop_
_space_group_symop_operation_xyz
'x,y,z'
'-x,-y,-z'
'-x,-y,z'
'x,y,-z'
'x,-y,-z'
'-x,y,z'
'-x,y,-z'
'x,-y,z'
loop_
_atom_site_label
_atom_site_type_symbol
_atom_site_fract_x
_atom_site_fract_y
_atom_site_fract_z
Li1 Li 0.0000 0.0000 0.2338
Cr1 Cr 0.5000 0.5000 0.5000
Rh1 Rh 0.5000 0.5000 0.0000


Entry 3:
# LiCr2Rh, relaxed, DFT PBE-GGA
# V in Å³/cell: 216
# DFT formation energy in meV per atom: 672
data_LiCr2Rh
_chemical_formula_sum 'Li4 Cr8 Rh4'
_cell_length_a 6.7811
_cell_length_b 6.7811
_cell_length_c 4.6894
_cell_angle_alpha 90.00
_cell_angle_beta 90.00
_cell_angle_gamma 90.00
_space_group_name_H-M_alt 'I -4 2 d'
_space_group_IT_number 122
_space_group_name_Hall 'I -4 2bw'
loop_
_atom_site_label
_atom_site_type_symbol
_atom_site_fract_x
_atom_site_fract_y
_atom_site_fract_z
Li1 Li 0.0000 0.0000 0.0000
Cr1 Cr 0.2301 0.2500 0.6250
Rh1 Rh 0.0000 0.0000 0.5000